The following is a DFT calculation (PBE with a Hubbard U) of a relaxed structure of Mg2VSF.

abc: 5.3358 5.3358 3.8560
angles: 90.00 90.00 90.00
Closest atoms and distances in Å follow each position.
Space group P4/mmm (No. 123)
Asymmetric unit:
Mg 0.0000 0.5000 0.0000 (multiplicity 2)  2 V 2.67
V 0.0000 0.0000 0.0000 (multiplicity 1)  2 F 1.93
S 0.5000 0.5000 0.5000 (multiplicity 1)  8 Mg 3.29
F 0.0000 0.0000 0.5000 (multiplicity 1)  2 V 1.93

Results
Fermi-level density of states   3.14 states/eV/f.u.
Magnetic moment   3.6 μB per cell
Calculated total energy   -3.4822 eV/atom